Record 1
ScGe2WO: single point on PBEsol structure, meta-GGA SCAN.

The calculation puts the total magnetization at 0.00 μB/f.u. The calculation puts the raw formation energy at -0.20 eV per atom. The calculation puts the theoretical density at 8.09 Mg/m³. As for the raw total energy: -129.313 eV/f.u.

The structure belongs to space group P4/mmm (No. 123); the cell edges are 4.582, 4.582 and 3.815 Å and the angles 90.00°, 90.00° and 90.00°. The inequivalent atoms are Sc at (0.000, 0.000, 0.000), Ge at (0.000, 0.500, 0.500), W at (0.500, 0.500, 0.000) and O at (0.500, 0.500, 0.500).

Record 2
GeSe2O6: single point on PBEsol structure, meta-GGA SCAN.

The calculation puts the total magnetization at 0.00 μB/f.u. The calculation puts the raw formation energy at -1.16 eV per atom. The excess energy over the best structure of this formula in the dataset is 0.000 eV/atom. The calculation puts the theoretical density at 4.32 Mg/m³. As for the raw total energy: -107.038 eV/f.u.

The structure belongs to space group P2_1/c (No. 14); the cell edges are 5.085, 6.735 and 8.845 Å and the angles 90.00°, 124.07° and 90.00°. The inequivalent atoms are Ge at (0.000, 0.000, 0.000), Se at (0.318, 0.175, 0.803), O at (0.193, 0.080, 0.246), O at (0.280, 0.723, 0.581) and O at (0.295, 0.164, 0.993).